meta-GGA SCAN La2AlCdAs, single point on PBEsol structure; electronic total energy = -29.302 eV/atom; formation energy = -0.388 eV/atom; size of the total moment = 0.000 Bohr magnetons per cell
1.0
5.703 0.000 0.000
0.000 5.703 0.000
0.000 0.000 4.670
La Al Cd As
2 1 1 1
Direct
0.000 0.500 0.000
0.500 0.000 0.000
0.000 0.000 0.500
0.500 0.500 0.500
0.000 0.000 0.000